#A
The following is a GGA-PBEsol calculation of CuOs2W after structural relaxation, from the Alexandria database.

Cell: 2.645 2.645 9.010 Å, 90.00 90.00 115.43°
Sites, in units of the cell vectors:
1 Os 0.000 0.000 0.004
2 Os 0.500 0.500 0.750
3 W 0.000 0.000 0.497
4 Cu 0.500 0.500 0.249

M_tot = 0.002 μB/cell

#B
The following is a GGA-PBEsol calculation of CuOs2W after structural relaxation, from the Alexandria database.

Cell: 2.762 2.762 7.269 Å, 90.00 90.00 90.00°
Sites, in units of the cell vectors:
1 W 0.500 0.500 0.000
2 Cu 0.500 0.500 0.500
3 Os 0.000 0.000 0.261
4 Os 0.000 0.000 0.739

M_tot = 0.000 μB/cell

#C
The following is a GGA-PBEsol calculation of CuOs2W after structural relaxation, from the Alexandria database.

Cell: 2.717 4.584 4.750 Å, 98.97 90.00 107.24°
Sites, in units of the cell vectors:
1 Os 0.251 0.502 0.236
2 Os 0.749 0.498 0.764
3 Cu 0.500 0.000 0.000
4 W 0.000 0.000 0.500

M_tot = 0.000 μB/cell

Energies, relative to the best one, in eV/atom: #A 0.332; #B 0.070; #C 0.000.